1.
A plane-wave DFT calculation with PBEsol was carried out for a relaxed MgRh5 crystal.

Output
**Energy of formation**: -97 meV per atom
**Density of states at the Fermi level**: 15.38 states/eV per cell

a = 9.757 Å, b = 2.712 Å, c = 6.491 Å
α = 90.00°, β = 104.51°, γ = 90.00°
Space group Cm (No. 8)
Symmetry-distinct sites (fractional):
Mg 0.000 0.000 0.000 [2 per cell]
Rh 0.052 0.000 0.609 [2 per cell]
Rh 0.161 0.500 0.335 [2 per cell]
Rh 0.226 0.500 0.949 [2 per cell]
Rh 0.327 0.000 0.664 [2 per cell]
Rh 0.380 0.000 0.282 [2 per cell]



2.
A plane-wave DFT calculation with PBEsol was carried out for a relaxed ZnFe3Pb crystal.

Output
**Energy of formation**: 1040 meV per atom
**Density of states at the Fermi level**: 6.10 states/eV per cell

a = 4.410 Å, b = 4.410 Å, c = 4.410 Å
α = 90.00°, β = 90.00°, γ = 90.00°
Space group Pm-3m (No. 221)
Symmetry-distinct sites (fractional):
Zn 0.000 0.000 0.000 [1 per cell]
Fe 0.000 0.000 0.500 [3 per cell]
Pb 0.500 0.500 0.500 [1 per cell]



3.
A plane-wave DFT calculation with PBEsol was carried out for a relaxed Al2CoSb crystal.

Output
**Formation energy (no corrections)**: 0.03 eV per atom
**Density of states at the Fermi level**: 7.49 states/eV per cell

a = 3.0600 Å, b = 3.0600 Å, c = 25.0208 Å
α = 90.00°, β = 90.00°, γ = 120.00°
Space group R-3m (No. 166, hexagonal axes)
Symmetry-distinct sites (fractional):
Al 0.0000 0.0000 0.2311 [6 per cell]
Co 0.0000 0.0000 0.5000 [3 per cell]
Sb 0.0000 0.0000 0.0000 [3 per cell]



4.
A plane-wave DFT calculation with PBEsol was carried out for a relaxed SbAu5 crystal.

Output
**Formation energy (no corrections)**: 0.04 eV per atom
**Density of states at the Fermi level**: 4.29 states/eV per cell

a = 4.244 Å, b = 12.556 Å, c = 4.086 Å
α = 90.00°, β = 90.00°, γ = 90.00°
Space group Cmmm (No. 65)
Symmetry-distinct sites (fractional):
Sb 0.000 0.000 0.000 [2 per cell]
Au 0.000 0.171 0.500 [4 per cell]
Au 0.000 0.331 0.000 [4 per cell]
Au 0.000 0.500 0.500 [2 per cell]



5.
A plane-wave DFT calculation with PBEsol was carried out for a relaxed Li2VCrO4 crystal.

Output
**Energy above the most stable polymorph in this dataset**: 0.006 eV/atom
**Formation energy (no corrections)**: -2.13 eV per atom
**Density of states at the Fermi level**: 17.29 states/eV per cell

a = 19.118 Å, b = 2.871 Å, c = 5.106 Å
α = 90.00°, β = 95.41°, γ = 90.00°
Space group C2/m (No. 12)
Symmetry-distinct sites (fractional):
Li 0.000 0.000 0.000 [2 per cell]
Li 0.000 0.500 0.500 [2 per cell]
Li 0.249 0.000 0.754 [4 per cell]
V 0.125 0.000 0.375 [4 per cell]
Cr 0.125 0.500 0.875 [4 per cell]
O 0.068 0.000 0.688 [4 per cell]
O 0.068 0.500 0.183 [4 per cell]
O 0.181 0.000 0.061 [4 per cell]
O 0.182 0.500 0.568 [4 per cell]



6.
A plane-wave DFT calculation with PBEsol was carried out for a relaxed GaSiAu3 crystal.

Output
**Formation energy (no corrections)**: 0.22 eV per atom
**Density of states at the Fermi level**: 0.88 states/eV per cell

a = 4.732 Å, b = 4.732 Å, c = 4.732 Å
α = 90.00°, β = 90.00°, γ = 90.00°
Space group Pm-3m (No. 221)
Symmetry-distinct sites (fractional):
Ga 0.000 0.000 0.000 [1 per cell]
Si 0.500 0.500 0.500 [1 per cell]
Au 0.000 0.500 0.500 [3 per cell]



7.
A plane-wave DFT calculation with PBEsol was carried out for a relaxed CaNiIN2 crystal.

Output
**Formation energy (no corrections)**: 1.58 eV per atom
**Density of states at the Fermi level**: 6.06 states/eV per cell

a = 4.347 Å, b = 4.347 Å, c = 6.092 Å
α = 90.00°, β = 90.00°, γ = 90.00°
Space group P4/mmm (No. 123)
Symmetry-distinct sites (fractional):
Ca 0.000 0.000 0.000 [1 per cell]
Ni 0.500 0.500 0.500 [1 per cell]
I 0.000 0.000 0.500 [1 per cell]
N 0.000 0.500 0.000 [2 per cell]



8.
A plane-wave DFT calculation with PBEsol was carried out for a relaxed NaOsCl2 crystal.

Output
**Energy above the most stable polymorph in this dataset**: 0.534 eV/atom
**Formation energy (no corrections)**: 0.45 eV per atom
**Density of states at the Fermi level**: 3.55 states/eV per cell

a = 6.487 Å, b = 6.487 Å, c = 6.487 Å
α = 90.00°, β = 90.00°, γ = 90.00°
Space group Fm-3m (No. 225)
Symmetry-distinct sites (fractional):
Na 0.000 0.000 0.000 [4 per cell]
Os 0.000 0.000 0.500 [4 per cell]
Cl 0.250 0.250 0.250 [8 per cell]



9.
A plane-wave DFT calculation with PBEsol was carried out for a relaxed In2Se crystal.

Output
**Energy above the most stable polymorph in this dataset**: 0.000 eV/atom
**Formation energy (no corrections)**: -0.29 eV per atom
**Density of states at the Fermi level**: 1.06 states/eV per cell

a = 4.0165 Å, b = 4.0165 Å, c = 5.5866 Å
α = 90.00°, β = 90.00°, γ = 120.00°
Space group P-3m1 (No. 164)
Symmetry-distinct sites (fractional):
In 0.3333 0.6667 0.1880 [2 per cell]
Se 0.0000 0.0000 0.5000 [1 per cell]



10.
A plane-wave DFT calculation with PBEsol was carried out for a relaxed EuP3 crystal.

Output
**Energy of formation**: -744 meV per atom
**Density of states at the Fermi level**: 21.95 states/eV per cell

a = 8.770 Å, b = 7.093 Å, c = 5.293 Å
α = 90.00°, β = 112.40°, γ = 90.00°
Space group C2/m (No. 12)
Symmetry-distinct sites (fractional):
Eu 0.164 0.000 0.341 [4 per cell]
P 0.000 0.500 0.215 [4 per cell]
P 0.138 0.232 0.810 [8 per cell]



11.
A plane-wave DFT calculation with PBEsol was carried out for a relaxed Li2CrAu crystal.

Output
**Energy above the most stable polymorph in this dataset**: 0.048 eV/atom
**Energy of formation**: 112 meV per atom
**Density of states at the Fermi level**: 6.71 states/eV per cell

a = 6.119 Å, b = 6.119 Å, c = 6.119 Å
α = 90.00°, β = 90.00°, γ = 90.00°
Space group Fm-3m (No. 225)
Symmetry-distinct sites (fractional):
Li 0.250 0.250 0.250 [8 per cell]
Cr 0.000 0.000 0.000 [4 per cell]
Au 0.000 0.000 0.500 [4 per cell]



12.
A plane-wave DFT calculation with PBEsol was carried out for a relaxed Cu3Ag crystal.

Output
**Energy of formation**: 146 meV per atom
**Density of states at the Fermi level**: 4.30 states/eV per cell

a = 8.2901 Å, b = 8.2901 Å, c = 2.5792 Å
α = 90.00°, β = 90.00°, γ = 120.00°
Space group R-3m (No. 166, hexagonal axes)
Symmetry-distinct sites (fractional):
Cu 0.0000 0.5000 0.0000 [9 per cell]
Ag 0.0000 0.0000 0.0000 [3 per cell]



Question: Which of these has the lowest density of states at the Fermi level?
Answer: GaSiAu3